The following is a DFT calculation (PBE) of a relaxed structure of SbAs2S6.

Properties
The calculation puts the formation energy without anion corrections at 0.180 eV/atom. As for the space group: P4_2/mnm. As for the magnetic moment: 0.0000 μB/atom. Its uncorrected energy is -4.06 eV/atom. The volume comes out at 404 Å³ per cell.

Structure (extended XYZ):
```
18
Lattice="-4.6904 2.8718 -2.1351 -1.4704 -4.7557 -3.1665 -6.4261 -3.9104 8.8570" Properties=species:S:1:pos:R:3 pbc="T T T"
S -3.9974 -1.8657 1.3177
S -4.2426 -1.2973 -3.6509
S -6.4135 -2.6045 -0.7615
S -9.3971 -1.8722 5.0201
S -3.1898 -3.9221 -1.4647
S -8.5895 -3.9286 2.2377
S -5.1470 0.7141 -0.8378
S -5.2909 -5.2721 1.4566
S -7.4399 -6.5084 4.3932
S -7.2960 -0.5222 2.0988
S -6.1734 -3.1898 4.3169
S -1.9182 -0.5866 -1.6507
Sb -6.2935 -2.8971 1.7777
Sb 0.0000 0.0000 0.0000
As -4.1503 -1.5930 -1.1761
As -4.2830 -2.6063 5.9032
As -8.4366 -4.2013 4.7315
As -2.1431 -1.3041 2.9538
```

The following is a DFT calculation (PBE) of a relaxed structure of HfAlGa4.

Properties
As for the space group: P2_1/m. Its distance to the lowest polymorph of the same formula is 0.00 kcal/mol of atoms. As for the magnetic moment: 0.0000 μB/atom. Its uncorrected energy is -4.49 eV/atom. The energy relative to the elements comes out at -0.192 eV/atom. The volume comes out at 215 Å³ per cell.

Structure (extended XYZ):
```
12
Lattice="-4.7736 1.3092 -1.4850 -1.6888 -5.2674 0.7849 1.8129 0.6329 8.1485" Properties=species:S:1:pos:R:3 pbc="T T T"
Ga -0.8985 -1.8991 5.2836
Ga -0.9192 -0.0892 7.3653
Ga -0.8444 -2.6337 0.3924
Ga 0.0000 0.0000 0.0000
Ga -2.9132 1.1871 1.7753
Ga -3.7303 -3.2360 0.0830
Ga -3.7511 -1.4262 2.1647
Ga -1.7363 -4.5123 5.6730
Al -3.8551 -2.4728 4.9360
Al -0.7944 -0.8524 2.5124
Hf -1.8292 -3.4197 2.9407
Hf -2.8203 0.0945 4.5076
```

The following is a DFT calculation (PBE) of a relaxed structure of Pr5AgRu2.

Properties
As for the space group: I4/mcm. As for the magnetic moment: 0.0000 μB/atom. Its uncorrected energy is -5.88 eV/atom. The energy relative to the elements comes out at -0.217 eV/atom. The volume comes out at 444 Å³ per cell.

Structure (extended XYZ):
```
16
Lattice="7.2451 0.0000 -3.4201 -1.6144 7.0629 -3.4201 -0.2112 -0.2650 8.9366" Properties=species:S:1:pos:R:3 pbc="T T T"
Ag 1.3020 1.6333 2.7583
Ag 4.1174 5.1647 -0.6618
Pr 2.9076 1.9977 -0.2358
Pr 4.6340 1.2688 3.4216
Pr -0.8177 3.5184 4.6630
Pr 6.2371 3.2796 -2.5665
Pr 2.5119 4.8002 2.3323
Pr 0.0000 0.0000 0.0000
Pr 0.7854 5.5292 -1.3251
Pr 4.1149 6.8111 -3.6559
Pr 2.8153 3.5315 -3.4201
Pr 1.3045 -0.0131 5.7523
Ru 0.4487 2.5302 -1.7100
Ru 1.2099 6.0617 -4.1604
Ru 4.4208 1.0013 -2.6797
Ru 5.1819 4.5327 -5.1301
```

The following is a DFT calculation (PBE) of a relaxed structure of Li12Zn6Pt.

Properties
As for the space group: R-3. As for the magnetic moment: 0.0000 μB/atom. Its uncorrected energy is -2.13 eV/atom. The energy relative to the elements comes out at -0.204 eV/atom. The volume comes out at 314 Å³ per cell.

Structure (extended XYZ):
```
19
Lattice="6.7483 0.5441 0.6519 -0.4852 6.7528 0.6519 -0.4852 -0.5653 6.7606" Properties=species:S:1:pos:R:3 pbc="T T T"
Li 4.9726 4.1697 7.4962
Li 2.8402 3.9852 1.9901
Li 0.8009 2.9963 4.2767
Li 3.3676 6.3843 6.7975
Li -0.0220 0.8113 2.6222
Li 0.8053 2.5619 0.5682
Li 2.9377 2.7464 6.0743
Li 5.7999 5.9203 5.4421
Li 4.9770 3.7354 3.7877
Li 2.2693 5.3832 4.3521
Li 3.5085 1.3484 3.7122
Li 2.4102 0.3474 1.2668
Zn 4.4181 6.2623 2.8565
Zn 0.2578 4.8711 2.3230
Zn 1.3598 0.4694 5.2078
Zn 1.0022 4.6235 6.6719
Zn 5.5201 1.8606 5.7413
Zn 4.7757 2.1081 1.3924
Pt 0.0000 0.0000 0.0000
```

The following is a DFT calculation (PBE) of a relaxed structure of NbAuIO2.

Properties
The calculation puts the formation energy without anion corrections at 0.783 eV/atom. As for the space group: P4/mmm. Its distance to the lowest polymorph of the same formula is 42.36 kcal/mol of atoms. As for the magnetic moment: 0.4886 μB/atom. Its uncorrected energy is -4.18 eV/atom. The volume comes out at 97 Å³ per cell.

Structure (extended XYZ):
```
5
Lattice="4.1837 0.0000 0.0000 0.0000 4.1837 0.0000 0.0000 0.0000 5.5214" Properties=species:S:1:pos:R:3 pbc="T T T"
O 0.0000 2.0919 0.0000
O 2.0919 0.0000 0.0000
Nb 2.0919 2.0919 2.7607
I 0.0000 0.0000 2.7607
Au 0.0000 0.0000 0.0000
```

The following is a DFT calculation (PBE) of a relaxed structure of Na4Tb3NdSe8.

Properties
The calculation puts the formation energy without anion corrections at -1.700 eV/atom. As for the space group: R-3m. As for the magnetic moment: 0.0000 μB/atom. Its uncorrected energy is -4.94 eV/atom. The volume comes out at 427 Å³ per cell.

Structure (extended XYZ):
```
16
Lattice="-4.0994 4.4155 5.8383 -6.8634 0.2991 -5.0455 3.3683 -7.4304 1.9566" Properties=species:S:1:pos:R:3 pbc="T T T"
Se -6.4149 -0.1145 1.6103
Se -4.7338 -3.8436 2.5410
Se -4.3750 -2.3640 -1.2840
Se -2.8608 1.1278 0.2084
Se -3.2196 -0.3518 4.0334
Se -2.7222 -6.0103 -0.3238
Se -4.8724 3.2945 3.0732
Se -1.1796 -2.6013 1.1391
Na -0.3656 -1.5075 3.8974
Na -2.0497 2.2077 2.9191
Na 1.6842 -3.7152 0.9783
Na 0.0000 0.0000 0.0000
Tb -5.4814 2.3573 0.3964
Tb -3.7973 -1.3579 1.3747
Tb -1.7476 -3.5656 -1.5444
Nd -3.4317 0.1496 -2.5227
```

The following is a DFT calculation (PBE) of a relaxed structure of Li4Sm3HfS8.

Properties
The calculation puts the formation energy without anion corrections at -1.706 eV/atom. As for the space group: R-3m. As for the magnetic moment: 0.0000 μB/atom. Its uncorrected energy is -5.75 eV/atom. The volume comes out at 326 Å³ per cell.

Structure (extended XYZ):
```
16
Lattice="7.7910 0.0000 0.0000 0.0000 7.6629 -0.0990 -3.8955 -3.8912 5.5106" Properties=species:S:1:pos:R:3 pbc="T T T"
S 3.8955 -0.1155 2.8494
S 3.8955 3.8643 2.7266
S -2.0759 -1.9329 5.4240
S 5.9714 5.7047 -0.0125
S 0.0000 3.8872 2.5622
S 0.0000 -0.0926 2.6849
S 2.0759 -1.9329 5.4240
S 1.8196 5.7047 -0.0125
Li 1.9477 -1.9456 2.7553
Li -1.9477 -1.9456 2.7553
Li 0.0000 0.0000 0.0000
Li 3.8955 0.0000 0.0000
Sm 1.9477 1.8859 2.7058
Sm -1.9477 1.8859 2.7058
Sm 3.8955 3.8315 -0.0495
Hf 0.0000 3.8315 -0.0495
```

The following is a DFT calculation (PBE) of a relaxed structure of VH2Ir2.

Properties
As for the space group: I4/mmm. Its distance to the lowest polymorph of the same formula is 2.53 kcal/mol of atoms. As for the magnetic moment: 0.0751 μB/atom. Its uncorrected energy is -6.59 eV/atom. The volume comes out at 50 Å³ per cell.

Structure (extended XYZ):
```
5
Lattice="3.4048 0.0000 0.0000 0.0000 3.4048 0.0000 1.7024 1.7024 4.2896" Properties=species:S:1:pos:R:3 pbc="T T T"
V 0.0000 0.0000 0.0000
H 1.7024 3.4048 2.1448
H 3.4048 1.7024 2.1448
Ir 3.4048 3.4048 2.9789
Ir 1.7024 1.7024 1.3107
```

The following is a DFT calculation (PBE) of a relaxed structure of Ba3Te.

Properties
The calculation puts the formation energy without anion corrections at -0.353 eV/atom. As for the space group: Fm-3m. Its distance to the lowest polymorph of the same formula is 9.77 kcal/mol of atoms. As for the magnetic moment: 0.0010 μB/atom. Its uncorrected energy is -2.58 eV/atom. The volume comes out at 183 Å³ per cell.

Structure (extended XYZ):
```
4
Lattice="-1.7994 5.2620 -3.1074 -5.9908 2.1064 0.5059 -1.2340 5.3460 3.2373" Properties=species:S:1:pos:R:3 pbc="T T T"
Ba -4.5121 6.3572 0.3179
Ba 0.0000 0.0000 0.0000
Ba -2.2560 3.1786 0.1589
Te -6.7681 9.5358 0.4768
```

The following is a DFT calculation (PBE) of a relaxed structure of Mo4RuCl.

Properties
The calculation puts the formation energy without anion corrections at 0.923 eV/atom. As for the space group: F-43m. As for the magnetic moment: 0.0000 μB/atom. Its uncorrected energy is -8.15 eV/atom. The volume comes out at 101 Å³ per cell.

Structure (extended XYZ):
```
6
Lattice="4.1318 -3.1957 -0.2159 2.8697 -0.8554 4.2853 -0.1692 -4.6553 2.3729" Properties=species:S:1:pos:R:3 pbc="T T T"
Mo 2.8339 -5.0154 1.8805
Mo 2.2014 -3.8424 4.1366
Mo 4.2723 -5.4441 4.0284
Mo 4.3571 -3.1109 2.8390
Cl 0.0000 0.0000 0.0000
Ru 1.7081 -2.1766 1.6106
```